(1)
Compound: MgCuI2O
Source: Alexandria via LeMat-Bulk
Functional: PBE
Structure: relaxed

Lattice parameters (Å, degrees): 5.579 5.579 3.705 90.00 90.00 90.00
Space group P4/mmm (No. 123)
Asymmetric unit:
Mg 0.000 0.000 0.000 [1 per cell]
Cu 0.500 0.500 0.500 [1 per cell]
I 0.000 0.500 0.500 [2 per cell]
O 0.500 0.500 0.000 [1 per cell]

Electronic total energy in eV per atom: -2.926
Energy above the lowest structure with this stoichiometry in meV/atom: 81
Crystal system: tetragonal

(2)
Compound: MgCuI2O
Source: Alexandria via LeMat-Bulk
Functional: PBE
Structure: relaxed

Lattice parameters (Å, degrees): 5.836 5.836 3.708 90.00 90.00 90.00
Space group P4/mmm (No. 123)
Asymmetric unit:
Mg 0.000 0.000 0.000 [1 per cell]
Cu 0.500 0.500 0.500 [1 per cell]
I 0.000 0.500 0.000 [2 per cell]
O 0.000 0.000 0.500 [1 per cell]

Electronic total energy in eV per atom: -3.006
Energy above the lowest structure with this stoichiometry in meV/atom: 0
Crystal system: tetragonal

(3)
Compound: MgCuPt2I
Source: Alexandria via LeMat-Bulk
Functional: PBE
Structure: relaxed

Lattice parameters (Å, degrees): 5.126 5.126 4.691 90.00 90.00 90.00
Space group P4/mmm (No. 123)
Asymmetric unit:
Mg 0.000 0.000 0.000 [1 per cell]
Cu 0.500 0.500 0.000 [1 per cell]
Pt 0.000 0.500 0.500 [2 per cell]
I 0.500 0.500 0.500 [1 per cell]

Electronic total energy in eV per atom: -3.030
Crystal system: tetragonal

(4)
Compound: Rb2MgCuI6
Source: Alexandria via LeMat-Bulk
Functional: PBE
Structure: relaxed

Lattice parameters (Å, degrees): 8.043 8.043 12.476 90.00 90.00 90.00
Space group I4/mmm (No. 139)
Asymmetric unit:
Rb 0.000 0.500 0.250 [4 per cell]
Mg 0.000 0.000 0.000 [2 per cell]
Cu 0.000 0.000 0.500 [2 per cell]
I 0.000 0.000 0.224 [4 per cell]
I 0.234 0.234 0.500 [8 per cell]

Electronic total energy in eV per atom: -2.543
Crystal system: tetragonal

(5)
Compound: MgCu2SI
Source: Alexandria via LeMat-Bulk
Functional: PBE
Structure: relaxed

Lattice parameters (Å, degrees): 5.295 5.295 4.411 90.00 90.00 90.00
Space group P4/mmm (No. 123)
Asymmetric unit:
Mg 0.000 0.000 0.000 [1 per cell]
Cu 0.000 0.500 0.000 [2 per cell]
S 0.000 0.000 0.500 [1 per cell]
I 0.500 0.500 0.500 [1 per cell]

Electronic total energy in eV per atom: -2.477
Crystal system: tetragonal

(6)
Compound: MgCuSb2I
Source: Alexandria via LeMat-Bulk
Functional: PBE
Structure: relaxed

Lattice parameters (Å, degrees): 5.412 5.412 5.602 90.00 90.00 90.00
Space group P4/mmm (No. 123)
Asymmetric unit:
Mg 0.000 0.000 0.000 [1 per cell]
Cu 0.500 0.500 0.500 [1 per cell]
Sb 0.000 0.500 0.000 [2 per cell]
I 0.000 0.000 0.500 [1 per cell]

Electronic total energy in eV per atom: -2.359
Energy above the lowest structure with this stoichiometry in meV/atom: 354
Crystal system: tetragonal

(7)
Compound: MgCuSb2I
Source: Alexandria via LeMat-Bulk
Functional: PBE
Structure: relaxed

Lattice parameters (Å, degrees): 5.045 5.045 5.767 90.00 90.00 90.00
Space group P4/mmm (No. 123)
Asymmetric unit:
Mg 0.000 0.000 0.000 [1 per cell]
Cu 0.500 0.500 0.500 [1 per cell]
Sb 0.000 0.500 0.500 [2 per cell]
I 0.500 0.500 0.000 [1 per cell]

Electronic total energy in eV per atom: -2.713
Energy above the lowest structure with this stoichiometry in meV/atom: 0
Crystal system: tetragonal

(8)
Compound: MgCuSbI2
Source: Alexandria via LeMat-Bulk
Functional: PBE
Structure: relaxed

Lattice parameters (Å, degrees): 5.413 5.413 5.231 90.00 90.00 90.00
Space group P4/mmm (No. 123)
Asymmetric unit:
Mg 0.000 0.000 0.000 [1 per cell]
Cu 0.500 0.500 0.500 [1 per cell]
Sb 0.500 0.500 0.000 [1 per cell]
I 0.000 0.500 0.500 [2 per cell]

Electronic total energy in eV per atom: -2.320
Energy above the lowest structure with this stoichiometry in meV/atom: 0
Crystal system: tetragonal

(9)
Compound: MgTa2CuI
Source: Alexandria via LeMat-Bulk
Functional: PBE
Structure: relaxed

Lattice parameters (Å, degrees): 5.052 5.052 4.780 90.00 90.00 90.00
Space group P4/mmm (No. 123)
Asymmetric unit:
Mg 0.000 0.000 0.000 [1 per cell]
Ta 0.000 0.500 0.500 [2 per cell]
Cu 0.500 0.500 0.000 [1 per cell]
I 0.500 0.500 0.500 [1 per cell]

Electronic total energy in eV per atom: -4.465
Crystal system: tetragonal

(10)
Compound: MgTlCu2I6
Source: Alexandria via LeMat-Bulk
Functional: PBE
Structure: relaxed

Lattice parameters (Å, degrees): 15.281 14.752 8.420 90.00 114.69 90.00
Space group C2/c (No. 15)
Asymmetric unit:
Mg 0.000 0.191 0.250 [4 per cell]
Tl 0.000 0.136 0.750 [4 per cell]
Cu 0.189 0.437 0.674 [8 per cell]
I 0.121 0.066 0.185 [8 per cell]
I 0.121 0.266 0.561 [8 per cell]
I 0.129 0.452 0.917 [8 per cell]

Electronic total energy in eV per atom: -2.584
Crystal system: monoclinic

(11)
Compound: MgTlCu2I
Source: Alexandria via LeMat-Bulk
Functional: PBE
Structure: relaxed

Lattice parameters (Å, degrees): 5.021 5.021 5.969 90.00 90.00 90.00
Space group P4/mmm (No. 123)
Asymmetric unit:
Mg 0.000 0.000 0.000 [1 per cell]
Tl 0.500 0.500 0.500 [1 per cell]
Cu 0.000 0.500 0.000 [2 per cell]
I 0.000 0.000 0.500 [1 per cell]

Electronic total energy in eV per atom: -2.321
Crystal system: tetragonal

(12)
Compound: MnCu2I6
Source: Alexandria via LeMat-Bulk
Functional: PBE
Structure: relaxed

Lattice parameters (Å, degrees): 15.511 15.049 7.201 90.00 117.62 90.00
Space group C2/c (No. 15)
Asymmetric unit:
Mn 0.000 0.250 0.250 [4 per cell]
Cu 0.250 0.077 0.412 [8 per cell]
I 0.101 0.160 0.111 [8 per cell]
I 0.102 0.341 0.591 [8 per cell]
I 0.249 0.079 0.766 [8 per cell]

Electronic total energy in eV per atom: -3.161
Energy above the lowest structure with this stoichiometry in meV/atom: 0
Crystal system: monoclinic

Number 1: uncorrected formation energy -0.18 eV/atom. Number 2: uncorrected formation energy -0.26 eV/atom. Number 3: uncorrected formation energy 0.83 eV/atom. Number 4: uncorrected formation energy -0.85 eV/atom. Number 5: uncorrected formation energy 0.62 eV/atom. Number 6: uncorrected formation energy 0.74 eV/atom. Number 7: uncorrected formation energy 0.38 eV/atom. Number 8: uncorrected formation energy 0.26 eV/atom. Number 9: uncorrected formation energy 1.72 eV/atom. Number 10: uncorrected formation energy -0.44 eV/atom. Number 11: uncorrected formation energy 0.42 eV/atom. Number 12: uncorrected formation energy -0.20 eV/atom.